1.
First-principles (PBE) data for MnAsRhW2 after structural relaxation, as listed in the Alexandria database.

The space group is P4/mmm (No. 123) and the conventional cell measures 4.490, 4.490 and 4.271 Å, with angles of 90.00, 90.00 and 90.00 degrees. Symmetry generates all atoms from Mn at (0.000, 0.000, 0.000), As at (0.000, 0.000, 0.500), Rh at (0.500, 0.500, 0.500) and W at (0.000, 0.500, 0.000).

The crystal system is tetragonal.

=====

2.
First-principles (PBE) data for Ac2GeO after structural relaxation, as listed in the Alexandria database.

The space group is Pnma (No. 62) and the conventional cell measures 9.478, 4.358 and 11.978 Å, with angles of 90.00, 90.00 and 90.00 degrees. Symmetry generates all atoms from Ac at (0.009, 0.250, 0.225), Ac at (0.167, 0.750, 0.480), Ge at (0.241, 0.250, 0.699) and O at (0.060, 0.250, 0.422).

The crystal system is orthorhombic.

=====

3.
First-principles (PBE) data for KIrRu after structural relaxation, as listed in the Alexandria database.

The space group is P6_3/mmc (No. 194) and the conventional cell measures 5.7254, 5.7254 and 9.1167 Å, with angles of 90.00, 90.00 and 120.00 degrees. Symmetry generates all atoms from K at (0.3333, 0.6667, 0.2500), Ir at (0.0000, 0.0000, 0.0000) and Ru at (0.0000, 0.0000, 0.2500).

The crystal system is hexagonal.

=====

no.,M_tot (μB per cell),electronic total energy (eV/cell)
1,0.0,-41.1
2,0.0,-99.3
3,2.5,-27.6